Entry 1:
# La5YEr4 | Alexandria | GGA-PBE | relaxed
# ΔH_f (0 K): 0.251 eV per atom
# DFT total energy: -4.684 eV/atom
# Magnetization: 0.00 μB per formula unit
data_La5YEr4
_cell_length_a 16.117
_cell_length_b 5.396
_cell_length_c 10.733
_cell_angle_alpha 90.00
_cell_angle_beta 131.56
_cell_angle_gamma 90.00
_space_group_name_H-M_alt 'C 1 2/m 1'
_space_group_IT_number 12
loop_
_space_group_symop_operation_xyz
'x,y,z'
'-x,-y,-z'
'-x,y,-z'
'x,-y,z'
'x+1/2,y+1/2,z'
'-x+1/2,-y+1/2,-z'
'-x+1/2,y+1/2,-z'
'x+1/2,-y+1/2,z'
loop_
_atom_site_label
_atom_site_type_symbol
_atom_site_fract_x
_atom_site_fract_y
_atom_site_fract_z
La1 La 0.000 0.000 0.000
La2 La 0.161 0.000 0.483
La3 La 0.162 0.000 0.840
Y1 Y 0.000 0.500 0.500
Er1 Er 0.001 0.500 0.176
Er2 Er 0.240 0.000 0.240



Entry 2:
# LaY4Er4 | Alexandria | GGA-PBE | relaxed
# ΔH_f (0 K): 0.042 eV per atom
# DFT total energy: -5.407 eV/atom
# Magnetization: 0.00 μB per formula unit
data_LaY4Er4
_cell_length_a 6.758
_cell_length_b 8.696
_cell_length_c 10.668
_cell_angle_alpha 78.15
_cell_angle_beta 74.93
_cell_angle_gamma 76.04
_space_group_name_H-M_alt 'P -1'
_space_group_IT_number 2
loop_
_space_group_symop_operation_xyz
'x,y,z'
'-x,-y,-z'
loop_
_atom_site_label
_atom_site_type_symbol
_atom_site_fract_x
_atom_site_fract_y
_atom_site_fract_z
La1 La 0.240 0.460 0.217
Y1 Y 0.074 0.172 0.791
Y2 Y 0.079 0.162 0.125
Y3 Y 0.246 0.479 0.545
Y4 Y 0.254 0.475 0.879
Er1 Er 0.085 0.160 0.462
Er2 Er 0.382 0.839 0.629
Er3 Er 0.390 0.844 0.960
Er4 Er 0.394 0.841 0.298



Entry 3:
# La2Y3Er3 | Alexandria | GGA-PBE | relaxed
# ΔH_f (0 K): 0.097 eV per atom
# DFT total energy: -5.270 eV/atom
# Magnetization: 0.00 μB per formula unit
data_La2Y3Er3
_cell_length_a 16.254
_cell_length_b 5.834
_cell_length_c 5.998
_cell_angle_alpha 90.00
_cell_angle_beta 111.43
_cell_angle_gamma 90.00
_space_group_name_H-M_alt 'C 1 2/m 1'
_space_group_IT_number 12
loop_
_space_group_symop_operation_xyz
'x,y,z'
'-x,-y,-z'
'-x,y,-z'
'x,-y,z'
'x+1/2,y+1/2,z'
'-x+1/2,-y+1/2,-z'
'-x+1/2,y+1/2,-z'
'x+1/2,-y+1/2,z'
loop_
_atom_site_label
_atom_site_type_symbol
_atom_site_fract_x
_atom_site_fract_y
_atom_site_fract_z
La1 La 0.249 0.000 0.302
Y1 Y 0.000 0.500 0.500
Y2 Y 0.125 0.500 0.086
Er1 Er 0.000 0.000 0.000
Er2 Er 0.124 0.000 0.664



Entry 4:
# LaY3Er3 | Alexandria | GGA-PBE | relaxed
# ΔH_f (0 K): 0.017 eV per atom
# DFT total energy: -5.413 eV/atom
# Magnetization: 0.00 μB per formula unit
data_LaY3Er3
_cell_length_a 9.6101
_cell_length_b 9.6101
_cell_length_c 5.6922
_cell_angle_alpha 90.00
_cell_angle_beta 90.00
_cell_angle_gamma 120.00
_space_group_name_H-M_alt 'P 63/m'
_space_group_IT_number 176
_space_group_name_Hall '-P 6c'
loop_
_atom_site_label
_atom_site_type_symbol
_atom_site_fract_x
_atom_site_fract_y
_atom_site_fract_z
La1 La 0.3333 0.6667 0.2500
Y1 Y 0.0960 0.4744 0.7500
Er1 Er 0.0474 0.2332 0.2500



Entry 5:
# La8YEr6 | Alexandria | GGA-PBE | relaxed
# ΔH_f (0 K): 0.165 eV per atom
# DFT total energy: -4.719 eV/atom
# Magnetization: 0.00 μB per formula unit
data_La8YEr6
_cell_length_a 9.4322
_cell_length_b 9.4322
_cell_length_c 6.6714
_cell_angle_alpha 90.00
_cell_angle_beta 90.00
_cell_angle_gamma 120.00
_space_group_name_H-M_alt 'P -3'
_space_group_IT_number 147
loop_
_space_group_symop_operation_xyz
'x,y,z'
'-x,-y,-z'
'-y,x-y,z'
'y,-x+y,-z'
'-x+y,-x,z'
'x-y,x,-z'
loop_
_atom_site_label
_atom_site_type_symbol
_atom_site_fract_x
_atom_site_fract_y
_atom_site_fract_z
La1 La 0.0446 0.7495 0.1667
La2 La 0.3333 0.6667 0.1207
Y1 Y 0.0000 0.0000 0.5000
Er1 Er 0.0986 0.6618 0.6505



Entry 6:
# La3Y2Er8 | Alexandria | GGA-PBE | relaxed
# ΔH_f (0 K): 0.087 eV per atom
# DFT total energy: -4.852 eV/atom
# Magnetization: 0.00 μB per formula unit
data_La3Y2Er8
_cell_length_a 22.915
_cell_length_b 5.567
_cell_length_c 6.800
_cell_angle_alpha 90.00
_cell_angle_beta 102.82
_cell_angle_gamma 90.00
_space_group_name_H-M_alt 'C 1 2/m 1'
_space_group_IT_number 12
loop_
_space_group_symop_operation_xyz
'x,y,z'
'-x,-y,-z'
'-x,y,-z'
'x,-y,z'
'x+1/2,y+1/2,z'
'-x+1/2,-y+1/2,-z'
'-x+1/2,y+1/2,-z'
'x+1/2,-y+1/2,z'
loop_
_atom_site_label
_atom_site_type_symbol
_atom_site_fract_x
_atom_site_fract_y
_atom_site_fract_z
La1 La 0.000 0.000 0.000
La2 La 0.012 0.500 0.295
Y1 Y 0.230 0.000 0.811
Er1 Er 0.078 0.000 0.597
Er2 Er 0.124 0.500 0.978
Er3 Er 0.169 0.500 0.522
Er4 Er 0.177 0.000 0.262



Entry 7:
# La2YEr7 | Alexandria | GGA-PBE | relaxed
# ΔH_f (0 K): 0.157 eV per atom
# DFT total energy: -4.669 eV/atom
# Magnetization: 0.00 μB per formula unit
data_La2YEr7
_cell_length_a 6.512
_cell_length_b 28.833
_cell_length_c 3.515
_cell_angle_alpha 90.00
_cell_angle_beta 90.00
_cell_angle_gamma 90.00
_space_group_name_H-M_alt 'C m m m'
_space_group_IT_number 65
_space_group_name_Hall '-C 2 2'
loop_
_atom_site_label
_atom_site_type_symbol
_atom_site_fract_x
_atom_site_fract_y
_atom_site_fract_z
La1 La 0.000 0.207 0.000
Y1 Y 0.000 0.500 0.500
Er1 Er 0.000 0.000 0.000
Er2 Er 0.000 0.317 0.500
Er3 Er 0.245 0.403 0.000



Entry 8:
# La6YEr12 | Alexandria | GGA-PBE | relaxed
# ΔH_f (0 K): 0.224 eV per atom
# DFT total energy: -4.554 eV/atom
# Magnetization: 0.00 μB per formula unit
data_La6YEr12
_cell_length_a 13.3084
_cell_length_b 13.3084
_cell_length_c 12.6808
_cell_angle_alpha 90.00
_cell_angle_beta 90.00
_cell_angle_gamma 120.00
_space_group_name_H-M_alt 'R -3 m'
_space_group_IT_number 166
_space_group_name_Hall '-R 3 2"'
loop_
_atom_site_label
_atom_site_type_symbol
_atom_site_fract_x
_atom_site_fract_y
_atom_site_fract_z
La1 La 0.0383 0.5192 0.1152
Y1 Y 0.0000 0.0000 0.5000
Er1 Er 0.0000 0.2539 0.0000
Er2 Er 0.0916 0.1832 0.7631



Entry 9:
# La2Y3Er7 | Alexandria | GGA-PBE | relaxed
# ΔH_f (0 K): 0.346 eV per atom
# DFT total energy: -4.753 eV/atom
# Magnetization: 0.00 μB per formula unit
data_La2Y3Er7
_cell_length_a 5.672
_cell_length_b 24.651
_cell_length_c 5.823
_cell_angle_alpha 90.00
_cell_angle_beta 90.00
_cell_angle_gamma 90.00
_space_group_name_H-M_alt 'C m m m'
_space_group_IT_number 65
_space_group_name_Hall '-C 2 2'
loop_
_atom_site_label
_atom_site_type_symbol
_atom_site_fract_x
_atom_site_fract_y
_atom_site_fract_z
La1 La 0.000 0.150 0.000
Y1 Y 0.000 0.322 0.500
Y2 Y 0.000 0.500 0.500
Er1 Er 0.000 0.000 0.000
Er2 Er 0.000 0.073 0.500
Er3 Er 0.000 0.277 0.000
Er4 Er 0.000 0.422 0.000



Entry 10:
# La2Y7Er2 | Alexandria | GGA-PBE | relaxed
# ΔH_f (0 K): 0.166 eV per atom
# DFT total energy: -5.673 eV/atom
# Magnetization: 0.00 μB per formula unit
data_La2Y7Er2
_cell_length_a 10.831
_cell_length_b 8.631
_cell_length_c 8.194
_cell_angle_alpha 90.00
_cell_angle_beta 103.79
_cell_angle_gamma 90.00
_space_group_name_H-M_alt 'C 1 2/m 1'
_space_group_IT_number 12
loop_
_space_group_symop_operation_xyz
'x,y,z'
'-x,-y,-z'
'-x,y,-z'
'x,-y,z'
'x+1/2,y+1/2,z'
'-x+1/2,-y+1/2,-z'
'-x+1/2,y+1/2,-z'
'x+1/2,-y+1/2,z'
loop_
_atom_site_label
_atom_site_type_symbol
_atom_site_fract_x
_atom_site_fract_y
_atom_site_fract_z
La1 La 0.000 0.202 0.000
Y1 Y 0.000 0.000 0.500
Y2 Y 0.214 0.300 0.678
Y3 Y 0.227 0.500 0.041
Er1 Er 0.056 0.500 0.320



Entry 11:
# LaY2Er7 | Alexandria | GGA-PBE | relaxed
# ΔH_f (0 K): 0.027 eV per atom
# DFT total energy: -4.952 eV/atom
# Magnetization: 0.00 μB per formula unit
data_LaY2Er7
_cell_length_a 6.141
_cell_length_b 7.086
_cell_length_c 7.926
_cell_angle_alpha 77.07
_cell_angle_beta 75.07
_cell_angle_gamma 73.25
_space_group_name_H-M_alt 'P -1'
_space_group_IT_number 2
loop_
_space_group_symop_operation_xyz
'x,y,z'
'-x,-y,-z'
loop_
_atom_site_label
_atom_site_type_symbol
_atom_site_fract_x
_atom_site_fract_y
_atom_site_fract_z
La1 La 0.000 0.000 0.000
Y1 Y 0.202 0.301 0.599
Er1 Er 0.000 0.500 0.000
Er2 Er 0.201 0.799 0.599
Er3 Er 0.399 0.101 0.200
Er4 Er 0.402 0.598 0.201



Entry 12:
# La2Y7Er2 | Alexandria | GGA-PBE | relaxed
# ΔH_f (0 K): 0.164 eV per atom
# DFT total energy: -5.675 eV/atom
# Magnetization: 0.00 μB per formula unit
data_La2Y7Er2
_cell_length_a 11.300
_cell_length_b 11.721
_cell_length_c 6.083
_cell_angle_alpha 90.00
_cell_angle_beta 113.30
_cell_angle_gamma 90.00
_space_group_name_H-M_alt 'C 1 2/m 1'
_space_group_IT_number 12
loop_
_space_group_symop_operation_xyz
'x,y,z'
'-x,-y,-z'
'-x,y,-z'
'x,-y,z'
'x+1/2,y+1/2,z'
'-x+1/2,-y+1/2,-z'
'-x+1/2,y+1/2,-z'
'x+1/2,-y+1/2,z'
loop_
_atom_site_label
_atom_site_type_symbol
_atom_site_fract_x
_atom_site_fract_y
_atom_site_fract_z
La1 La 0.000 0.210 0.000
Y1 Y 0.000 0.000 0.500
Y2 Y 0.093 0.500 0.310
Y3 Y 0.173 0.237 0.673
Er1 Er 0.237 0.000 0.083